Record 1
{
  "formula": "KRb4Np3O12",
  "functional": "PBE-GGA",
  "state": "optimized geometry",
  "lattice_angstrom": [[-4.427, 4.427, 4.427], [4.427, -4.427, 4.427], [4.427, 4.427, -4.427]],
  "species": ["K", "Rb", "Rb", "Rb", "Rb", "Np", "Np", "Np", "O", "O", "O", "O", "O", "O", "O", "O", "O", "O", "O", "O"],
  "fractional_positions": [[0.000, 0.000, 0.000], [0.000, 0.000, 0.500], [0.000, 0.500, 0.000], [0.500, 0.000, 0.000], [0.500, 0.500, 0.500], [0.000, 0.500, 0.500], [0.500, 0.000, 0.500], [0.500, 0.500, 0.000], [0.000, 0.289, 0.289], [0.000, 0.711, 0.711], [0.250, 0.500, 0.750], [0.250, 0.750, 0.500], [0.289, 0.000, 0.289], [0.289, 0.289, 0.000], [0.500, 0.250, 0.750], [0.500, 0.750, 0.250], [0.711, 0.000, 0.711], [0.711, 0.711, 0.000], [0.750, 0.250, 0.500], [0.750, 0.500, 0.250]],
  "formation_energy_uncorrected_ev_per_atom": -2.486,
  "vol_a3_per_atom": 17.4,
  "m_tot_mub_per_cell": 2.000
}

Record 2
{
  "formula": "RbLiErS2",
  "functional": "PBE-GGA",
  "state": "optimized geometry",
  "lattice_angstrom": [[3.901, -7.805, 0.000], [3.901, 7.805, 0.000], [0.000, 0.000, 5.051]],
  "species": ["Rb", "Rb", "Li", "Li", "Er", "Er", "S", "S", "S", "S"],
  "fractional_positions": [[0.250, 0.750, 0.835], [0.750, 0.250, 0.165], [0.000, 0.000, 0.000], [0.500, 0.500, 0.000], [0.250, 0.250, 0.500], [0.750, 0.750, 0.500], [0.105, 0.895, 0.352], [0.395, 0.605, 0.352], [0.605, 0.395, 0.648], [0.895, 0.105, 0.648]],
  "formation_energy_uncorrected_ev_per_atom": -1.244,
  "vol_a3_per_atom": 30.8,
  "m_tot_mub_per_cell": 0.000
}